No. 1
3
Lattice="4.749 0.000 0.000 -2.374 4.113 0.000 0.000 0.000 3.387" Properties=species:S:1:pos:R:3 comment="PBE DyTlRh, optimized geometry" crystal_system=hexagonal delta_e_f_mev_per_atom=-383 magnetic_moment_mub_per_fu=0.0 total_energy_ha_per_atom=-0.1895 pbc="T T T"
Dy 0.000 0.000 0.000
Tl 0.000 2.742 1.693
Rh 2.374 1.371 1.693

---

No. 2
4
Lattice="0.000 3.620 3.620 3.620 0.000 3.620 3.620 3.620 0.000" Properties=species:S:1:pos:R:3 comment="PBE DyYTlRh, optimized geometry" crystal_system=cubic delta_e_f_mev_per_atom=-502 magnetic_moment_mub_per_fu=0.0 total_energy_ha_per_atom=-0.2094 e_above_lowest_polymorph_mev_per_atom=114 pbc="T T T"
Dy 0.000 0.000 0.000
Y 3.620 3.620 3.620
Tl 1.810 1.810 1.810
Rh 5.431 5.431 5.431

---

No. 3
4
Lattice="3.543 0.000 0.000 0.000 3.543 0.000 0.000 0.000 7.597" Properties=species:S:1:pos:R:3 comment="PBE DyYTlRh, optimized geometry" crystal_system=tetragonal delta_e_f_mev_per_atom=-617 magnetic_moment_mub_per_fu=0.0 total_energy_ha_per_atom=-0.2136 e_above_lowest_polymorph_mev_per_atom=0 pbc="T T T"
Dy 0.000 0.000 0.000
Y 0.000 0.000 3.280
Tl 1.772 1.772 5.440
Rh 1.772 1.772 1.611

---

No. 4
4
Lattice="0.000 3.527 3.527 3.527 0.000 3.527 3.527 3.527 0.000" Properties=species:S:1:pos:R:3 comment="PBE DyZrTlRh, optimized geometry" crystal_system=cubic delta_e_f_mev_per_atom=-311 magnetic_moment_mub_per_fu=0.0 total_energy_ha_per_atom=-0.2215 pbc="T T T"
Dy 0.000 0.000 0.000
Zr 3.527 3.527 3.527
Tl 5.291 5.291 5.291
Rh 1.764 1.764 1.764

---

No. 5
5
Lattice="5.329 0.000 0.000 0.000 5.329 0.000 0.000 0.000 5.329" Properties=species:S:1:pos:R:3 comment="PBE DyTm3Rh, optimized geometry" crystal_system=cubic delta_e_f_mev_per_atom=-254 magnetic_moment_mub_per_fu=0.0 total_energy_ha_per_atom=-0.1958 e_above_lowest_polymorph_mev_per_atom=116 pbc="T T T"
Dy 0.000 0.000 0.000
Tm 0.000 2.665 2.665
Tm 2.665 0.000 2.665
Tm 2.665 2.665 0.000
Rh 2.665 2.665 2.665

---

No. 6
3
Lattice="-1.712 1.712 6.252 1.712 -1.712 6.252 1.712 1.712 -6.252" Properties=species:S:1:pos:R:3 comment="PBE DyTmRh, optimized geometry" crystal_system=tetragonal delta_e_f_mev_per_atom=-587 magnetic_moment_mub_per_fu=0.0 total_energy_ha_per_atom=-0.2228 e_above_lowest_polymorph_mev_per_atom=61 pbc="T T T"
Dy 0.000 0.000 0.000
Tm 0.000 0.000 9.214
Rh 0.000 0.000 4.564